Compound: CsCaCrO4
Source: the Alexandria database
Functional: GGA+U
Structure: relaxed Values from VASP.

Calculated values
* crystal system: monoclinic
* total energy: -6.32 eV/atom
* spin magnetization: 1.00 μB/f.u.

Cell and atoms, written as Quantum ESPRESSO input:
```
&SYSTEM
  ibrav = 0, nat = 14, ntyp = 4
/
ATOMIC_SPECIES
Cs 132.91 Cs.upf
Ca 40.08 Ca.upf
Cr 52.00 Cr.upf
O 16.00 O.upf
CELL_PARAMETERS angstrom
5.880 0.000 0.015
0.000 6.051 0.000
-2.284 0.000 7.610
ATOMIC_POSITIONS crystal
Cs 0.723 0.750 0.935
Cs 0.277 0.250 0.065
Ca 0.800 0.750 0.459
Ca 0.200 0.250 0.541
Cr 0.259 0.750 0.352
Cr 0.741 0.250 0.648
O 0.938 0.473 0.670
O 0.062 0.973 0.330
O 0.062 0.527 0.330
O 0.938 0.027 0.670
O 0.420 0.750 0.204
O 0.580 0.250 0.796
O 0.443 0.750 0.559
O 0.557 0.250 0.441
```